# 1
First-principles (PBE) data for a geometry-optimized NaAg6Pd3 structure, as listed in Alexandria via LeMat-Bulk.

Calculated values
**Uncorrected energy**: -0.2471 Ry per atom
**Energy relative to the elements**: 0.039 eV/atom
**Total magnetic moment**: 0.00 μB/f.u.
**Calculated density**: 8.9 Mg/m³
**Space group**: Cmc2_1 (36)

a = 7.026 Å, b = 7.679 Å, c = 7.679 Å
α = 116.46°, β = 90.00°, γ = 90.00°
Atoms (fractional coordinates):
Pd (0.422, 0.959, 0.702)
Pd (0.422, 0.298, 0.041)
Pd (0.922, 0.702, 0.959)
Pd (0.442, 0.609, 0.391)
Pd (0.922, 0.041, 0.298)
Pd (0.942, 0.391, 0.609)
Ag (0.780, 0.852, 0.516)
Ag (0.117, 0.359, 0.281)
Ag (0.729, 0.034, 0.966)
Ag (0.280, 0.148, 0.484)
Ag (0.229, 0.966, 0.034)
Ag (0.117, 0.719, 0.641)
Ag (0.617, 0.281, 0.359)
Ag (0.280, 0.516, 0.852)
Ag (0.780, 0.484, 0.148)
Ag (0.131, 0.730, 0.270)
Ag (0.617, 0.641, 0.719)
Ag (0.631, 0.270, 0.730)
Na (0.547, 0.822, 0.178)
Na (0.047, 0.178, 0.822)


# 2
First-principles (PBE) data for a geometry-optimized NaAg2Pd2 structure, as listed in Alexandria via LeMat-Bulk.

Calculated values
**Uncorrected energy**: -0.2452 Ry per atom
**Energy relative to the elements**: 0.145 eV/atom
**Total magnetic moment**: 0.00 μB/f.u.
**Calculated density**: 7.3 Mg/m³
**Space group**: I4/mmm (139)

a = 4.060 Å, b = 4.060 Å, c = 6.878 Å
α = 72.83°, β = 72.83°, γ = 90.00°
Atoms (fractional coordinates):
Ag (0.750, 0.250, 0.500)
Ag (0.250, 0.750, 0.500)
Pd (0.604, 0.604, 0.793)
Pd (0.396, 0.396, 0.207)
Na (0.000, 0.000, 0.000)


Question: Which formula does entry 1 have?
Answer: NaAg6Pd3


Question: What is the total magnetic moment in the second record?
Answer: 0.00 μB/f.u.